# 1
TiNb2Ni | PBE-GGA | relaxed

- E above lowest polymorph: 15.2 meV/atom
- Formation energy: -0.0126 eV per atom
- Magnetic moment: 0.00 μB per formula unit

Lattice parameters (Å, degrees): 4.4042 3.8335 3.8335 90.00 90.00 90.00
Atoms (fractional coordinates):
Ni (0.5000, 0.0000, 0.0000)
Nb (0.0000, 0.0000, 0.5000)
Nb (0.0000, 0.5000, 0.0000)
Ti (0.5000, 0.5000, 0.5000)


# 2
TiNb2Ni6 | PBE-GGA | relaxed

- Formation energy: -0.1700 eV per atom
- Magnetic moment: 0.00 μB per formula unit

Lattice parameters (Å, degrees): 5.4382 5.0258 5.0258 59.98 89.95 89.95
Atoms (fractional coordinates):
Ti (0.0000, 0.0000, 0.0000)
Nb (0.8672, 0.6668, 0.6668)
Nb (0.1328, 0.3332, 0.3332)
Ni (0.3272, 0.3500, 0.8248)
Ni (0.3275, 0.8248, 0.8248)
Ni (0.3272, 0.8248, 0.3500)
Ni (0.6728, 0.6500, 0.1752)
Ni (0.6725, 0.1752, 0.1752)
Ni (0.6728, 0.1752, 0.6500)


# 3
Ti5NbNi4 | PBE-GGA | relaxed

- Formation energy: -0.2772 eV per atom
- Magnetic moment: 0.00 μB per formula unit

Lattice parameters (Å, degrees): 3.0282 3.0282 15.7702 90.00 90.00 90.00
Atoms (fractional coordinates):
Ti (0.5000, 0.5000, 0.1209)
Ti (0.5000, 0.5000, 0.3123)
Ti (0.5000, 0.5000, 0.5000)
Ti (0.5000, 0.5000, 0.6877)
Ti (0.5000, 0.5000, 0.8791)
Nb (0.0000, 0.0000, 0.0000)
Ni (0.0000, 0.0000, 0.2157)
Ni (0.0000, 0.0000, 0.4028)
Ni (0.0000, 0.0000, 0.5972)
Ni (0.0000, 0.0000, 0.7843)


# 4
Ti2NbNi | PBE-GGA | relaxed

- E above lowest polymorph: 31.5 meV/atom
- Formation energy: -0.1510 eV per atom
- Magnetic moment: 0.00 μB per formula unit

Lattice parameters (Å, degrees): 2.8701 4.3914 10.1843 90.00 100.47 90.00
Atoms (fractional coordinates):
Ti (0.1055, 0.7500, 0.6973)
Ti (0.8945, 0.2500, 0.3027)
Ti (0.1319, 0.7500, 0.1396)
Ti (0.8681, 0.2500, 0.8604)
Nb (0.4110, 0.2500, 0.5743)
Nb (0.5890, 0.7500, 0.4257)
Ni (0.5202, 0.2500, 0.0695)
Ni (0.4798, 0.7500, 0.9305)


# 5
Ti3NbNi7 | PBE-GGA | relaxed

- Formation energy: -0.0675 eV per atom
- Magnetic moment: 0.00 μB per formula unit

Lattice parameters (Å, degrees): 4.8300 6.5971 6.5971 84.25 120.58 120.58
Atoms (fractional coordinates):
Ti (0.0000, 0.7685, 0.2315)
Ti (0.5000, 0.0000, 0.0000)
Ti (0.0000, 0.2315, 0.7685)
Nb (0.5000, 0.5000, 0.5000)
Ni (0.3193, 0.1863, 0.1863)
Ni (0.3301, 0.0673, 0.5875)
Ni (0.6699, 0.4125, 0.9327)
Ni (0.3301, 0.5875, 0.0673)
Ni (0.0000, 0.5000, 0.5000)
Ni (0.6699, 0.9327, 0.4125)
Ni (0.6807, 0.8137, 0.8137)


# 6
TiNb2Ni | PBE-GGA | relaxed

- E above lowest polymorph: 66.7 meV/atom
- Formation energy: 0.0389 eV per atom
- Magnetic moment: 0.00 μB per formula unit

Lattice parameters (Å, degrees): 4.4767 4.4767 4.4767 60.00 60.00 60.00
Atoms (fractional coordinates):
Ni (0.5000, 0.5000, 0.5000)
Nb (0.2500, 0.2500, 0.2500)
Nb (0.7500, 0.7500, 0.7500)
Ti (0.0000, 0.0000, 0.0000)


# 7
TiNbNi5 | PBE-GGA | relaxed

- Formation energy: -0.1492 eV per atom
- Magnetic moment: 0.00 μB per formula unit

Lattice parameters (Å, degrees): 3.5781 3.5782 7.3234 90.00 90.00 90.00
Atoms (fractional coordinates):
Ti (0.5000, 0.5000, 0.0000)
Nb (0.0000, 0.0000, 0.5000)
Ni (0.0000, 0.5000, 0.7586)
Ni (0.0000, 0.5000, 0.2414)
Ni (0.5000, 0.0000, 0.7586)
Ni (0.5000, 0.0000, 0.2414)
Ni (0.5000, 0.5000, 0.5000)


# 8
TiNb2Ni9 | PBE-GGA | relaxed

- Formation energy: -0.2426 eV per atom
- Magnetic moment: 0.67 μB per formula unit

Lattice parameters (Å, degrees): 3.6646 3.6646 11.0061 90.00 90.00 90.00
Each line ends with the local moment (μB).
Atoms (fractional coordinates):
Ti (0.0000, 0.0000, 0.0000)  0.04
Nb (0.0000, 0.0000, 0.3304)  0.13
Nb (0.0000, 0.0000, 0.6696)  0.13
Ni (0.5000, 0.5000, 0.0000)  0.01
Ni (0.5000, 0.5000, 0.3305)  0.04
Ni (0.5000, 0.5000, 0.6695)  0.04
Ni (0.5000, 0.0000, 0.1623)  0.02
Ni (0.5000, 0.0000, 0.5000)  0.07
Ni (0.5000, 0.0000, 0.8377)  0.02
Ni (0.0000, 0.5000, 0.1623)  0.02
Ni (0.0000, 0.5000, 0.5000)  0.07
Ni (0.0000, 0.5000, 0.8377)  0.02


# 9
Ti2NbNi | PBE-GGA | relaxed

- E above lowest polymorph: 0.0 meV/atom
- Formation energy: -0.1826 eV per atom
- Magnetic moment: 0.00 μB per formula unit

Lattice parameters (Å, degrees): 3.1306 3.1306 6.3589 90.00 90.00 90.00
Atoms (fractional coordinates):
Ni (0.5000, 0.5000, 0.0000)
Nb (0.5000, 0.5000, 0.5000)
Ti (0.0000, 0.0000, 0.7664)
Ti (0.0000, 0.0000, 0.2336)


# 10
Ti2NbZn2Ni2 | PBE-GGA | relaxed

- Formation energy: -0.2136 eV per atom
- Magnetic moment: 0.00 μB per formula unit

Lattice parameters (Å, degrees): 4.2594 4.2569 7.1067 107.58 90.00 120.02
Atoms (fractional coordinates):
Ti (0.6028, 0.2056, 0.8081)
Ti (0.3972, 0.7944, 0.1919)
Nb (0.0000, 0.0000, 0.0000)
Zn (0.1382, 0.2763, 0.4139)
Zn (0.8618, 0.7237, 0.5861)
Ni (0.7395, 0.4790, 0.2178)
Ni (0.2605, 0.5210, 0.7822)


# 11
TiNbZnNi | PBE-GGA | relaxed

- Formation energy: -0.0695 eV per atom
- Magnetic moment: 0.88 μB per formula unit

Lattice parameters (Å, degrees): 4.4072 4.4072 4.4072 60.00 60.00 60.00
Each line ends with the local moment (μB).
Atoms (fractional coordinates):
Ni (0.5000, 0.5000, 0.5000)  0.39
Nb (0.7500, 0.7500, 0.7500)  0.13
Zn (0.0000, 0.0000, 0.0000)  0.02
Ti (0.2500, 0.2500, 0.2500)  0.28


# 12
NbTl2Ni | PBE-GGA | relaxed

- Formation energy: 0.6205 eV per atom
- Magnetic moment: 0.00 μB per formula unit

Lattice parameters (Å, degrees): 7.5052 7.5052 6.0547 51.70 51.70 90.00
Atoms (fractional coordinates):
Ni (0.5000, 0.5000, 0.0000)
Ni (0.2500, 0.7500, 0.5000)
Tl (0.5888, 0.1250, 0.2500)
Tl (0.1612, 0.6250, 0.2500)
Tl (0.3750, 0.4112, 0.7500)
Tl (0.8750, 0.8388, 0.7500)
Nb (0.0000, 0.0000, 0.0000)
Nb (0.7500, 0.2500, 0.5000)


# 13
NbTlNi3 | PBE-GGA | relaxed

- E above lowest polymorph: 0.0 meV/atom
- Formation energy: 1.1171 eV per atom
- Magnetic moment: 0.00 μB per formula unit

Lattice parameters (Å, degrees): 4.6372 4.6372 4.6372 90.00 90.00 90.00
Atoms (fractional coordinates):
Ni (0.0000, 0.5000, 0.0000)
Ni (0.0000, 0.0000, 0.5000)
Ni (0.5000, 0.0000, 0.0000)
Tl (0.5000, 0.5000, 0.5000)
Nb (0.0000, 0.0000, 0.0000)


# 14
TmNbNi2 | PBE-GGA | relaxed

- E above lowest polymorph: 81.9 meV/atom
- Formation energy: -0.1535 eV per atom
- Magnetic moment: 0.00 μB per formula unit

Lattice parameters (Å, degrees): 3.0023 4.6493 4.6493 90.00 90.00 90.00
Atoms (fractional coordinates):
Ni (0.0000, 0.0000, 0.5000)
Ni (0.0000, 0.5000, 0.0000)
Nb (0.5000, 0.0000, 0.0000)
Tm (0.5000, 0.5000, 0.5000)


# 15
TmNbNi | PBE-GGA | relaxed

- Formation energy: -0.0446 eV per atom
- Magnetic moment: 0.00 μB per formula unit

Lattice parameters (Å, degrees): 4.5640 3.2277 10.6551 90.00 90.00 134.99
Atoms (fractional coordinates):
Ni (0.6938, 0.3876, 0.0000)
Ni (0.1946, 0.3892, 0.5000)
Tm (0.6946, 0.3892, 0.3409)
Tm (0.6946, 0.3892, 0.6591)
Nb (0.1945, 0.3890, 0.8646)
Nb (0.1945, 0.3890, 0.1354)


# 16
TmNbNi2 | PBE-GGA | relaxed

- E above lowest polymorph: 14.1 meV/atom
- Formation energy: -0.2213 eV per atom
- Magnetic moment: 0.00 μB per formula unit

Lattice parameters (Å, degrees): 3.1985 3.1985 6.5305 90.00 90.00 90.00
Atoms (fractional coordinates):
Ni (0.0000, 0.0000, 0.7959)
Ni (0.0000, 0.0000, 0.2041)
Nb (0.5000, 0.5000, 0.0000)
Tm (0.5000, 0.5000, 0.5000)


# 17
TmNbNi2 | PBE-GGA | relaxed

- E above lowest polymorph: 0.0 meV/atom
- Formation energy: -0.2354 eV per atom
- Magnetic moment: 0.00 μB per formula unit

Lattice parameters (Å, degrees): 4.2584 4.2584 5.1700 65.68 65.68 60.00
Atoms (fractional coordinates):
Ni (0.7943, 0.7943, 0.6170)
Ni (0.2057, 0.2057, 0.3830)
Nb (0.5000, 0.5000, 0.5000)
Tm (0.0000, 0.0000, 0.0000)


# 18
Tm2NbNi | PBE-GGA | relaxed

- Formation energy: 0.4179 eV per atom
- Magnetic moment: 0.91 μB per formula unit

Lattice parameters (Å, degrees): 3.2282 3.2282 9.9803 80.69 80.69 60.00
Each line ends with the local moment (μB).
Atoms (fractional coordinates):
Ni (0.5000, 0.5000, 0.5000)  0.03
Nb (0.0000, 0.0000, 0.0000)  0.65
Tm (0.1004, 0.1004, 0.6989)  0.07
Tm (0.8996, 0.8996, 0.3011)  0.07


# 19
UNb2Ni9 | PBE-GGA | relaxed

- Formation energy: -0.2143 eV per atom
- Magnetic moment: 0.82 μB per formula unit

Lattice parameters (Å, degrees): 4.8041 4.8041 8.3589 73.30 73.30 60.00
Each line ends with the local moment (μB).
Atoms (fractional coordinates):
U (0.0000, 0.0000, 0.0000)  1.42
Nb (0.8578, 0.8578, 0.4266)  -0.03
Nb (0.1422, 0.1422, 0.5734)  -0.03
Ni (0.6666, 0.6666, 0.0003)  -0.13
Ni (0.3334, 0.3334, 0.9997)  -0.13
Ni (0.5000, 0.5000, 0.5000)  -0.05
Ni (0.4126, 0.4126, 0.2573)  -0.07
Ni (0.9175, 0.4126, 0.2573)  -0.07
Ni (0.4126, 0.9175, 0.2573)  -0.07
Ni (0.5874, 0.5874, 0.7427)  -0.07
Ni (0.5874, 0.0825, 0.7427)  -0.07
Ni (0.0825, 0.5874, 0.7427)  -0.07


# 20
UNbNi14 | PBE-GGA | relaxed

- Formation energy: -0.1294 eV per atom
- Magnetic moment: 1.70 μB per formula unit

Lattice parameters (Å, degrees): 5.2209 5.2209 7.0276 90.00 90.00 90.00
Each line ends with the local moment (μB).
Atoms (fractional coordinates):
U (0.3750, 0.3750, 0.5000)  -0.14
Nb (0.8750, 0.8750, 0.5000)  -0.03
Ni (0.8750, 0.8750, 0.0000)  0.37
Ni (0.3750, 0.3750, 0.0000)  0.41
Ni (0.8750, 0.3750, 0.5000)  0.01
Ni (0.8750, 0.3750, 0.0000)  0.27
Ni (0.3750, 0.8750, 0.5000)  0.01
Ni (0.3750, 0.8750, 0.0000)  0.27
Ni (0.6261, 0.1239, 0.2406)  0.08
Ni (0.6261, 0.1239, 0.7594)  0.08
Ni (0.1239, 0.6261, 0.2406)  0.08
Ni (0.1239, 0.6261, 0.7594)  0.08
Ni (0.6261, 0.6261, 0.2406)  0.08
Ni (0.6261, 0.6261, 0.7594)  0.08
Ni (0.1239, 0.1239, 0.2406)  0.08
Ni (0.1239, 0.1239, 0.7594)  0.08


# 21
NbVNi | PBE-GGA | relaxed

- E above lowest polymorph: 150.0 meV/atom
- Formation energy: -0.0343 eV per atom
- Magnetic moment: 0.00 μB per formula unit

Lattice parameters (Å, degrees): 5.2781 4.1981 8.7677 90.00 118.44 90.00
Atoms (fractional coordinates):
Ni (0.2333, 0.0000, 0.8155)
Ni (0.2333, 0.5000, 0.3155)
Ni (0.5745, 0.0000, 0.4980)
Ni (0.5745, 0.5000, 0.9980)
Nb (0.7560, 0.0000, 0.8543)
Nb (0.7560, 0.5000, 0.3543)
Nb (0.4355, 0.0000, 0.1510)
Nb (0.4355, 0.5000, 0.6510)
V (0.9714, 0.0000, 0.1957)
V (0.9714, 0.5000, 0.6957)
V (0.0824, 0.0000, 0.4958)
V (0.0824, 0.5000, 0.9958)


# 22
NbV2Ni2 | PBE-GGA | relaxed

- E above lowest polymorph: 0.0 meV/atom
- Formation energy: -0.0572 eV per atom
- Magnetic moment: 0.00 μB per formula unit

Lattice parameters (Å, degrees): 7.2547 7.2547 2.5593 90.00 90.00 90.00
Atoms (fractional coordinates):
Ni (0.3774, 0.8774, 0.0000)
Ni (0.8774, 0.6226, 0.0000)
Ni (0.6226, 0.1226, 0.0000)
Ni (0.1226, 0.3774, 0.0000)
Nb (0.0000, 0.0000, 0.0000)
Nb (0.5000, 0.5000, 0.0000)
V (0.1713, 0.6713, 0.5000)
V (0.6713, 0.8287, 0.5000)
V (0.8287, 0.3287, 0.5000)
V (0.3287, 0.1713, 0.5000)


# 23
Nb2V2Ni | PBE-GGA | relaxed

- Formation energy: 0.1907 eV per atom
- Magnetic moment: 0.00 μB per formula unit

Lattice parameters (Å, degrees): 6.3594 6.3594 3.8189 90.00 90.00 90.00
Atoms (fractional coordinates):
Ni (0.0000, 0.0000, 0.0000)
Ni (0.5000, 0.5000, 0.0000)
Nb (0.1760, 0.6760, 0.5000)
Nb (0.6760, 0.8240, 0.5000)
Nb (0.8240, 0.3240, 0.5000)
Nb (0.3240, 0.1760, 0.5000)
V (0.3679, 0.8679, 0.0000)
V (0.8679, 0.6321, 0.0000)
V (0.6321, 0.1321, 0.0000)
V (0.1321, 0.3679, 0.0000)


# 24
NbVNi2 | PBE-GGA | relaxed

- E above lowest polymorph: 155.6 meV/atom
- Formation energy: 0.0042 eV per atom
- Magnetic moment: 2.43 μB per formula unit

Lattice parameters (Å, degrees): 4.2652 4.2652 4.2652 60.00 60.00 60.00
Each line ends with the local moment (μB).
Atoms (fractional coordinates):
Ni (0.2500, 0.2500, 0.2500)  0.32
Ni (0.7500, 0.7500, 0.7500)  0.32
Nb (0.5000, 0.5000, 0.5000)  0.18
V (0.0000, 0.0000, 0.0000)  1.40


# 25
NbV2Ni5 | PBE-GGA | relaxed

- Formation energy: -0.0289 eV per atom
- Magnetic moment: 0.00 μB per formula unit

Lattice parameters (Å, degrees): 2.5720 6.4193 6.4193 76.45 78.44 78.44
Atoms (fractional coordinates):
Nb (0.0000, 0.0000, 0.0000)
V (0.7515, 0.7485, 0.7485)
V (0.2485, 0.2515, 0.2515)
Ni (0.0000, 0.5000, 0.5000)
Ni (0.6312, 0.6008, 0.1368)
Ni (0.3688, 0.3992, 0.8632)
Ni (0.3688, 0.8632, 0.3992)
Ni (0.6312, 0.1368, 0.6008)